Record 1
Here is a geometry-optimized FeNiAsP2 structure from Alexandria. Energies are from PBE.

Geometry as CIF:
```
data_FeNiAsP2
_chemical_formula_sum 'Fe2 Ni2 As2 P4'
_cell_length_a 7.521
_cell_length_b 3.239
_cell_length_c 6.229
_cell_angle_alpha 90.00
_cell_angle_beta 113.27
_cell_angle_gamma 90.00
_symmetry_space_group_name_H-M 'C 1 m 1'
_symmetry_Int_Tables_number 8
loop_
_symmetry_equiv_pos_as_xyz
'x,y,z'
'x,-y,z'
'x+1/2,y+1/2,z'
'x+1/2,-y+1/2,z'
loop_
_atom_site_label
_atom_site_fract_x
_atom_site_fract_y
_atom_site_fract_z
Fe1 0.000 0.000 0.000
Ni1 0.460 0.500 0.407
As1 0.356 0.000 0.664
P1 0.117 0.500 0.304
P2 0.211 0.500 0.007
```

**Offset from the most stable computed form**: 57 meV per atom
**Size of the total moment**: 0.00 μB per atom
**ρ**: 6.0 g cm⁻³
**Energy of formation from the pure elements**: -0.141 eV per atom
**Volume**: 13.94 Å³/atom

***

Record 2
Here is a geometry-optimized FeNiAsP2 structure from Alexandria. Energies are from PBE.

Geometry as CIF:
```
data_FeNiAsP2
_chemical_formula_sum 'Fe2 Ni2 As2 P4'
_cell_length_a 5.673
_cell_length_b 3.318
_cell_length_c 7.397
_cell_angle_alpha 90.00
_cell_angle_beta 90.14
_cell_angle_gamma 90.00
_symmetry_space_group_name_H-M 'C 1 m 1'
_symmetry_Int_Tables_number 8
loop_
_symmetry_equiv_pos_as_xyz
'x,y,z'
'x,-y,z'
'x+1/2,y+1/2,z'
'x+1/2,-y+1/2,z'
loop_
_atom_site_label
_atom_site_fract_x
_atom_site_fract_y
_atom_site_fract_z
Fe1 0.000 0.000 0.000
Ni1 0.002 0.000 0.340
As1 0.167 0.500 0.542
P1 0.334 0.000 0.827
P2 0.336 0.000 0.164
```

**Offset from the most stable computed form**: 0 meV per atom
**Size of the total moment**: 0.00 μB per atom
**ρ**: 6.0 g cm⁻³
**Energy of formation from the pure elements**: -0.199 eV per atom
**Volume**: 13.93 Å³/atom

***

Record 3
Here is a geometry-optimized FeNiAsP2 structure from Alexandria. Energies are from PBE.

Geometry as CIF:
```
data_FeNiAsP2
_chemical_formula_sum 'Fe2 Ni2 As2 P4'
_cell_length_a 2.829
_cell_length_b 3.655
_cell_length_c 14.097
_cell_angle_alpha 90.00
_cell_angle_beta 90.00
_cell_angle_gamma 90.00
_symmetry_space_group_name_H-M 'A m m 2'
_symmetry_Int_Tables_number 38
loop_
_symmetry_equiv_pos_as_xyz
'x,y,z'
'-x,-y,z'
'-x,y,z'
'x,-y,z'
'x,y+1/2,z+1/2'
'-x,-y+1/2,z+1/2'
'-x,y+1/2,z+1/2'
'x,-y+1/2,z+1/2'
loop_
_atom_site_label
_atom_site_fract_x
_atom_site_fract_y
_atom_site_fract_z
Fe1 0.000 0.000 0.000
Ni1 0.500 0.000 0.724
As1 0.000 0.000 0.178
P1 0.500 0.000 0.549
P2 0.500 0.000 0.880
```

**Offset from the most stable computed form**: 133 meV per atom
**Size of the total moment**: 0.17 μB per atom
**ρ**: 5.7 g cm⁻³
**Energy of formation from the pure elements**: -0.066 eV per atom
**Volume**: 14.57 Å³/atom

***

Record 4
Here is a geometry-optimized FeNiAsP2 structure from Alexandria. Energies are from PBE.

Geometry as CIF:
```
data_FeNiAsP2
_chemical_formula_sum 'Fe1 Ni1 As1 P2'
_cell_length_a 4.382
_cell_length_b 3.582
_cell_length_c 4.700
_cell_angle_alpha 90.00
_cell_angle_beta 106.17
_cell_angle_gamma 90.00
_symmetry_space_group_name_H-M 'P 1 m 1'
_symmetry_Int_Tables_number 6
loop_
_symmetry_equiv_pos_as_xyz
'x,y,z'
'x,-y,z'
loop_
_atom_site_label
_atom_site_fract_x
_atom_site_fract_y
_atom_site_fract_z
Fe1 0.000 0.000 0.000
Ni1 0.379 0.500 0.382
As1 0.118 0.000 0.541
P1 0.548 0.000 0.170
P2 0.755 0.500 0.799
```

**Offset from the most stable computed form**: 43 meV per atom
**Size of the total moment**: 0.00 μB per atom
**ρ**: 5.9 g cm⁻³
**Energy of formation from the pure elements**: -0.155 eV per atom
**Volume**: 14.17 Å³/atom

***

Record 5
Here is a geometry-optimized FeNiAsP2 structure from Alexandria. Energies are from PBE.

Geometry as CIF:
```
data_FeNiAsP2
_chemical_formula_sum 'Fe1 Ni1 As1 P2'
_cell_length_a 3.676
_cell_length_b 4.291
_cell_length_c 4.898
_cell_angle_alpha 107.64
_cell_angle_beta 94.25
_cell_angle_gamma 99.88
_symmetry_space_group_name_H-M 'P 1'
_symmetry_Int_Tables_number 1
loop_
_symmetry_equiv_pos_as_xyz
'x,y,z'
loop_
_atom_site_label
_atom_site_fract_x
_atom_site_fract_y
_atom_site_fract_z
Fe1 0.000 0.000 0.000
Ni1 0.471 0.161 0.676
As1 0.865 0.806 0.428
P1 0.049 0.464 0.863
P2 0.559 0.206 0.239
```

**Offset from the most stable computed form**: 61 meV per atom
**Size of the total moment**: 0.00 μB per atom
**ρ**: 5.8 g cm⁻³
**Energy of formation from the pure elements**: -0.137 eV per atom
**Volume**: 14.38 Å³/atom

***

Record 6
Here is a geometry-optimized FeNiAsP2 structure from Alexandria. Energies are from PBE.

Geometry as CIF:
```
data_FeNiAsP2
_chemical_formula_sum 'Fe2 Ni2 As2 P4'
_cell_length_a 6.904
_cell_length_b 3.167
_cell_length_c 7.170
_cell_angle_alpha 90.00
_cell_angle_beta 115.93
_cell_angle_gamma 90.00
_symmetry_space_group_name_H-M 'C 1 m 1'
_symmetry_Int_Tables_number 8
loop_
_symmetry_equiv_pos_as_xyz
'x,y,z'
'x,-y,z'
'x+1/2,y+1/2,z'
'x+1/2,-y+1/2,z'
loop_
_atom_site_label
_atom_site_fract_x
_atom_site_fract_y
_atom_site_fract_z
Fe1 0.000 0.000 0.000
Ni1 0.217 0.500 0.617
As1 0.341 0.000 0.428
P1 0.225 0.000 0.842
P2 0.270 0.500 0.143
```

**Offset from the most stable computed form**: 38 meV per atom
**Size of the total moment**: 0.15 μB per atom
**ρ**: 5.9 g cm⁻³
**Energy of formation from the pure elements**: -0.160 eV per atom
**Volume**: 14.10 Å³/atom

***

Record 7
Here is a geometry-optimized FeNiAsP2 structure from Alexandria. Energies are from PBE.

Geometry as CIF:
```
data_FeNiAsP2
_chemical_formula_sum 'Fe2 Ni2 As2 P4'
_cell_length_a 7.604
_cell_length_b 3.456
_cell_length_c 6.540
_cell_angle_alpha 90.00
_cell_angle_beta 116.28
_cell_angle_gamma 90.00
_symmetry_space_group_name_H-M 'C 1 m 1'
_symmetry_Int_Tables_number 8
loop_
_symmetry_equiv_pos_as_xyz
'x,y,z'
'x,-y,z'
'x+1/2,y+1/2,z'
'x+1/2,-y+1/2,z'
loop_
_atom_site_label
_atom_site_fract_x
_atom_site_fract_y
_atom_site_fract_z
Fe1 0.000 0.000 0.000
Ni1 0.176 0.500 0.591
As1 0.483 0.500 0.620
P1 0.065 0.500 0.223
P2 0.191 0.500 0.954
```

**Offset from the most stable computed form**: 34 meV per atom
**Size of the total moment**: 0.09 μB per atom
**ρ**: 5.4 g cm⁻³
**Energy of formation from the pure elements**: -0.165 eV per atom
**Volume**: 15.41 Å³/atom

***

Record 8
Here is a geometry-optimized FeNiAsP2 structure from Alexandria. Energies are from PBE.

Geometry as CIF:
```
data_FeNiAsP2
_chemical_formula_sum 'Fe2 Ni2 As2 P4'
_cell_length_a 9.353
_cell_length_b 4.382
_cell_length_c 3.375
_cell_angle_alpha 90.00
_cell_angle_beta 92.15
_cell_angle_gamma 90.00
_symmetry_space_group_name_H-M 'C 1 m 1'
_symmetry_Int_Tables_number 8
loop_
_symmetry_equiv_pos_as_xyz
'x,y,z'
'x,-y,z'
'x+1/2,y+1/2,z'
'x+1/2,-y+1/2,z'
loop_
_atom_site_label
_atom_site_fract_x
_atom_site_fract_y
_atom_site_fract_z
Fe1 0.000 0.000 0.000
Ni1 0.100 0.500 0.525
As1 0.212 0.000 0.586
P1 0.348 0.500 0.487
P2 0.440 0.000 0.007
```

**Offset from the most stable computed form**: 143 meV per atom
**Size of the total moment**: 0.00 μB per atom
**ρ**: 6.0 g cm⁻³
**Energy of formation from the pure elements**: -0.056 eV per atom
**Volume**: 13.82 Å³/atom

***

Record 9
Here is a geometry-optimized FeNiAsP2 structure from Alexandria. Energies are from PBE.

Geometry as CIF:
```
data_FeNiAsP2
_chemical_formula_sum 'Fe1 Ni1 As1 P2'
_cell_length_a 3.322
_cell_length_b 4.470
_cell_length_c 5.591
_cell_angle_alpha 109.09
_cell_angle_beta 90.11
_cell_angle_gamma 111.73
_symmetry_space_group_name_H-M 'P 1'
_symmetry_Int_Tables_number 1
loop_
_symmetry_equiv_pos_as_xyz
'x,y,z'
loop_
_atom_site_label
_atom_site_fract_x
_atom_site_fract_y
_atom_site_fract_z
Fe1 0.000 0.000 0.000
Ni1 0.659 0.320 0.741
As1 0.358 0.718 0.643
P1 0.268 0.536 0.041
P2 0.536 0.071 0.288
```

**Offset from the most stable computed form**: 75 meV per atom
**Size of the total moment**: 0.00 μB per atom
**ρ**: 5.8 g cm⁻³
**Energy of formation from the pure elements**: -0.124 eV per atom
**Volume**: 14.43 Å³/atom

***

Record 10
Here is a geometry-optimized FeNiAsP2 structure from Alexandria. Energies are from PBE.

Geometry as CIF:
```
data_FeNiAsP2
_chemical_formula_sum 'Fe2 Ni2 As2 P4'
_cell_length_a 7.622
_cell_length_b 2.786
_cell_length_c 7.552
_cell_angle_alpha 90.00
_cell_angle_beta 104.60
_cell_angle_gamma 90.00
_symmetry_space_group_name_H-M 'C 1 m 1'
_symmetry_Int_Tables_number 8
loop_
_symmetry_equiv_pos_as_xyz
'x,y,z'
'x,-y,z'
'x+1/2,y+1/2,z'
'x+1/2,-y+1/2,z'
loop_
_atom_site_label
_atom_site_fract_x
_atom_site_fract_y
_atom_site_fract_z
Fe1 0.000 0.000 0.000
Ni1 0.278 0.500 0.211
As1 0.316 0.500 0.668
P1 0.009 0.500 0.259
P2 0.183 0.500 0.906
```

**Offset from the most stable computed form**: 19 meV per atom
**Size of the total moment**: 0.00 μB per atom
**ρ**: 5.4 g cm⁻³
**Energy of formation from the pure elements**: -0.180 eV per atom
**Volume**: 15.52 Å³/atom

***

| no. | D(E_F) (states/eV/atom) |
| --- | --- |
| 1 | 0.431 |
| 2 | 0.658 |
| 3 | 0.642 |
| 4 | 0.604 |
| 5 | 0.462 |
| 6 | 0.490 |
| 7 | 0.588 |
| 8 | 0.468 |
| 9 | 0.549 |
| 10 | 0.469 |